DFT (PBE) results for crystalline RbHfIn at its relaxed geometry.

Structure (CIF):
```
data_RbHfIn
_chemical_formula_sum 'Rb2 Hf2 In2'
_cell_length_a 9.2857
_cell_length_b 9.2857
_cell_length_c 9.2857
_cell_angle_alpha 159.22
_cell_angle_beta 133.31
_cell_angle_gamma 51.62
_symmetry_space_group_name_H-M 'P 1'
_symmetry_Int_Tables_number 1
loop_
_symmetry_equiv_pos_as_xyz
'x,y,z'
loop_
_atom_site_label
_atom_site_fract_x
_atom_site_fract_y
_atom_site_fract_z
_atom_site_occupancy
Rb1 0.1882 0.1882 0.0000 1
Rb2 0.8118 0.8118 0.0000 1
Hf1 0.4184 0.9184 0.5000 1
Hf2 0.5816 0.0816 0.5000 1
In1 0.2041 0.5000 0.7041 1
In2 0.7959 0.5000 0.2959 1
```

Space group ... No. 71
Density of states at the Fermi level ... 0.9542 states/eV/atom
Formation energy from the elements ... 0.41 eV/atom
Final energy ... -24.840 eV per cell
Energy above the lowest structure with this stoichiometry ... 356 meV per atom

DFT (PBE) results for crystalline HfTiSi at its relaxed geometry.

Structure (CIF):
```
data_HfTiSi
_chemical_formula_sum 'Hf2 Ti2 Si2'
_cell_length_a 5.2917
_cell_length_b 5.2917
_cell_length_c 5.5410
_cell_angle_alpha 90.00
_cell_angle_beta 90.00
_cell_angle_gamma 137.67
_symmetry_space_group_name_H-M 'P 1'
_symmetry_Int_Tables_number 1
loop_
_symmetry_equiv_pos_as_xyz
'x,y,z'
loop_
_atom_site_label
_atom_site_fract_x
_atom_site_fract_y
_atom_site_fract_z
_atom_site_occupancy
Hf1 0.1963 0.8037 0.7500 1
Hf2 0.8037 0.1963 0.2500 1
Ti1 0.5000 0.5000 0.0000 1
Ti2 0.5000 0.5000 0.5000 1
Si1 0.1089 0.8911 0.2500 1
Si2 0.8911 0.1089 0.7500 1
```

Space group ... No. 63
Density of states at the Fermi level ... 1.2147 states/eV/atom
Final energy ... -50.225 eV per cell
Energy relative to the elements, uncorrected ... -614 meV per atom

DFT (PBE) results for crystalline Tc2OsSe at its relaxed geometry.

Structure (CIF):
```
data_Tc2OsSe
_chemical_formula_sum 'Tc2 Os1 Se1'
_cell_length_a 4.5162
_cell_length_b 4.5162
_cell_length_c 2.9275
_cell_angle_alpha 90.00
_cell_angle_beta 90.00
_cell_angle_gamma 90.00
_symmetry_space_group_name_H-M 'P 1'
_symmetry_Int_Tables_number 1
loop_
_symmetry_equiv_pos_as_xyz
'x,y,z'
loop_
_atom_site_label
_atom_site_fract_x
_atom_site_fract_y
_atom_site_fract_z
_atom_site_occupancy
Tc1 0.0000 0.5000 0.0000 1
Tc2 0.5000 0.0000 0.0000 1
Os1 0.0000 0.0000 0.5000 1
Se1 0.5000 0.5000 0.5000 1
```

Space group ... No. 123
Density of states at the Fermi level ... 0.9458 states/eV/atom
Final energy ... -33.804 eV per cell
Energy relative to the elements, uncorrected ... 411 meV per atom

DFT (PBE) results for crystalline La2AlSb2 at its relaxed geometry.

Structure (CIF):
```
data_La2AlSb2
_chemical_formula_sum 'La4 Al2 Sb4'
_cell_length_a 8.2617
_cell_length_b 8.2617
_cell_length_c 4.4091
_cell_angle_alpha 90.00
_cell_angle_beta 90.00
_cell_angle_gamma 90.00
_symmetry_space_group_name_H-M 'P 1'
_symmetry_Int_Tables_number 1
loop_
_symmetry_equiv_pos_as_xyz
'x,y,z'
loop_
_atom_site_label
_atom_site_fract_x
_atom_site_fract_y
_atom_site_fract_z
_atom_site_occupancy
La1 0.1569 0.3431 0.0000 1
La2 0.3431 0.8431 0.0000 1
La3 0.6569 0.1569 0.0000 1
La4 0.8431 0.6569 0.0000 1
Al1 0.0000 0.0000 0.5000 1
Al2 0.5000 0.5000 0.5000 1
Sb1 0.1516 0.6516 0.5000 1
Sb2 0.3484 0.1516 0.5000 1
Sb3 0.6516 0.8484 0.5000 1
Sb4 0.8484 0.3484 0.5000 1
```

Space group ... No. 127
Density of states at the Fermi level ... 0.6031 states/eV/atom
Final energy ... -51.460 eV per cell
Energy above the lowest structure with this stoichiometry ... 0 meV per atom
Energy relative to the elements, uncorrected ... -778 meV per atom